16
Lattice="7.5120 0.0000 0.0000 0.0000 11.8389 0.0000 0.0000 0.0000 4.2683" Properties=species:S:1:pos:R:3 comment="Tm5IrPt2, relaxed, DFT PBE" e_form_ev_per_fu=-7.958 pbc="T T T"
Tm 0.0000 0.0000 0.0000
Tm 1.2153 3.4983 0.0000
Tm 1.3194 7.0122 2.1341
Tm 2.4367 1.0928 2.1341
Tm 2.5407 9.4178 0.0000
Tm 3.7560 5.9194 0.0000
Tm 4.9713 2.4211 0.0000
Tm 5.0754 10.7460 2.1341
Tm 6.1927 4.8266 2.1341
Tm 6.2968 8.3405 0.0000
Ir 0.0000 5.9194 0.0000
Ir 3.7560 0.0000 0.0000
Pt 0.3074 9.8006 2.1341
Pt 3.4486 3.8812 2.1341
Pt 4.0635 7.9576 2.1341
Pt 7.2046 2.0382 2.1341